Version i
MgMo3 | PBE | optimized geometry

Unit cell a=5.468 b=9.055 c=2.653 alpha=90.00 beta=90.00 gamma=90.00
Space group Cmmm (No. 65)
Inequivalent atoms, fractional coordinates:
Mg  0.000  0.000  0.000 [2 per cell]
Mo  0.000  0.500  0.000 [2 per cell]
Mo  0.250  0.250  0.500 [4 per cell]

## Properties
total moment: 0.00 μB per formula unit


Version ii
MgMo3 | PBE | optimized geometry

Unit cell a=9.1398 b=9.1398 c=2.6870 alpha=90.00 beta=90.00 gamma=120.00
Space group R-3m (No. 166, hexagonal axes)
Inequivalent atoms, fractional coordinates:
Mg  0.0000  0.0000  0.0000 [3 per cell]
Mo  0.0000  0.5000  0.0000 [9 per cell]

## Properties
total moment: 0.00 μB per formula unit


Version iii
MgMo3 | PBE | optimized geometry

Unit cell a=4.649 b=4.649 c=4.649 alpha=90.00 beta=90.00 gamma=90.00
Space group Pm-3m (No. 221)
Inequivalent atoms, fractional coordinates:
Mg  0.000  0.000  0.000 [1 per cell]
Mo  0.000  0.000  0.500 [3 per cell]

## Properties
total moment: 0.00 μB per formula unit


Version iv
MgMo3 | PBE | optimized geometry

Unit cell a=2.660 b=2.660 c=9.400 alpha=90.00 beta=90.00 gamma=90.00
Space group P4/mmm (No. 123)
Inequivalent atoms, fractional coordinates:
Mg  0.000  0.000  0.000 [1 per cell]
Mo  0.000  0.000  0.500 [1 per cell]
Mo  0.500  0.500  0.253 [2 per cell]

## Properties
total moment: 0.00 μB per formula unit


Name the most stable of them. version ii.


Version i
MgMo3 | PBE | optimized geometry

Unit cell a=6.692 b=8.948 c=4.406 alpha=90.00 beta=90.00 gamma=90.00
Space group Cmcm (No. 63)
Inequivalent atoms, fractional coordinates:
Mg  0.000  0.122  0.250 [4 per cell]
Mo  0.000  0.360  0.750 [4 per cell]
Mo  0.222  0.387  0.250 [8 per cell]

## Properties
total moment: 0.00 μB per formula unit


Version ii
MgMo3 | PBE | optimized geometry

Unit cell a=4.582 b=5.498 c=5.222 alpha=90.00 beta=90.00 gamma=90.00
Space group Pmmn (No. 59, origin choice 2)
Inequivalent atoms, fractional coordinates:
Mg  0.250  0.250  0.150 [2 per cell]
Mo  0.250  0.018  0.646 [4 per cell]
Mo  0.250  0.750  0.158 [2 per cell]

## Properties
total moment: 0.00 μB per formula unit


Version iii
MgMo3 | PBE | optimized geometry

Unit cell a=6.369 b=6.369 c=6.369 alpha=90.00 beta=90.00 gamma=90.00
Space group Fm-3m (No. 225)
Inequivalent atoms, fractional coordinates:
Mg  0.000  0.000  0.000 [4 per cell]
Mo  0.000  0.000  0.500 [4 per cell]
Mo  0.250  0.250  0.250 [8 per cell]

## Properties
total moment: 0.00 μB per formula unit


Name the most stable of them. version i.


Version i
MgMo | PBE | optimized geometry

Unit cell a=3.237 b=4.676 c=9.498 alpha=90.00 beta=90.00 gamma=90.00
Space group Cmme (No. 67)
Inequivalent atoms, fractional coordinates:
Mg  0.000  0.250  0.142 [4 per cell]
Mo  0.000  0.250  0.608 [4 per cell]

## Properties
total moment: 0.00 μB per formula unit


Version ii
MgMo | PBE | optimized geometry

Unit cell a=3.484 b=4.176 c=4.679 alpha=90.00 beta=90.00 gamma=90.00
Space group Cmmm (No. 65)
Inequivalent atoms, fractional coordinates:
Mg  0.000  0.000  0.000 [2 per cell]
Mo  0.000  0.500  0.500 [2 per cell]

## Properties
total moment: 0.00 μB per formula unit


Name the most stable of them. version i.


Version i
MgMo | PBE | optimized geometry

Unit cell a=4.3091 b=4.3091 c=9.8402 alpha=90.00 beta=90.00 gamma=120.00
Space group P6_3/mmc (No. 194)
Inequivalent atoms, fractional coordinates:
Mg  0.3333  0.6667  0.0774 [4 per cell]
Mo  0.0000  0.0000  0.2500 [2 per cell]
Mo  0.3333  0.6667  0.7500 [2 per cell]

## Properties
total moment: 0.00 μB per formula unit


Version ii
MgMo | PBE | optimized geometry

Unit cell a=4.7662 b=4.7662 c=4.5929 alpha=90.00 beta=90.00 gamma=120.00
Space group P6_3/mmc (No. 194)
Inequivalent atoms, fractional coordinates:
Mg  0.3333  0.6667  0.2500 [2 per cell]
Mo  0.0000  0.0000  0.0000 [2 per cell]

## Properties
total moment: 0.00 μB per formula unit


Version iii
MgMo | PBE | optimized geometry

Unit cell a=6.467 b=6.467 c=6.467 alpha=90.00 beta=90.00 gamma=90.00
Space group Fd-3m (No. 227, origin choice 2)
Inequivalent atoms, fractional coordinates:
Mg  0.125  0.125  0.125 [8 per cell]
Mo  0.125  0.125  0.625 [8 per cell]

## Properties
total moment: 0.00 μB per formula unit


Version iv
MgMo | PBE | optimized geometry

Unit cell a=11.641 b=11.641 c=3.049 alpha=90.00 beta=90.00 gamma=90.00
Space group I4/m (No. 87)
Inequivalent atoms, fractional coordinates:
Mg  0.042  0.820  0.000 [8 per cell]
Mo  0.183  0.288  0.000 [8 per cell]

## Properties
total moment: 0.00 μB per formula unit


Name the most stable of them. version iii.


Version i
MgMo | PBE | optimized geometry

Unit cell a=2.8441 b=2.8441 c=14.7465 alpha=90.00 beta=90.00 gamma=120.00
Space group R-3m (No. 166, hexagonal axes)
Inequivalent atoms, fractional coordinates:
Mg  0.0000  0.0000  0.0000 [3 per cell]
Mo  0.0000  0.0000  0.5000 [3 per cell]

## Properties
total moment: 0.00 μB per formula unit


Version ii
MgMo | PBE | optimized geometry

Unit cell a=9.377 b=2.726 c=5.422 alpha=90.00 beta=92.95 gamma=90.00
Space group C2/m (No. 12)
Inequivalent atoms, fractional coordinates:
Mg  0.124  0.000  0.377 [4 per cell]
Mo  0.122  0.500  0.896 [4 per cell]

## Properties
total moment: 0.00 μB per formula unit


Name the most stable of them. version ii.


Version i
MgMo | PBE | optimized geometry

Unit cell a=8.445 b=8.445 c=4.591 alpha=90.00 beta=90.00 gamma=90.00
Space group P4/m (No. 83)
Inequivalent atoms, fractional coordinates:
Mg  0.061  0.660  0.000 [4 per cell]
Mg  0.119  0.234  0.500 [4 per cell]
Mo  0.284  0.554  0.500 [4 per cell]
Mo  0.305  0.390  0.000 [4 per cell]

## Properties
total moment: 0.00 μB per formula unit


Version ii
MgMo | PBE | optimized geometry

Unit cell a=5.360 b=5.360 c=5.459 alpha=90.00 beta=90.00 gamma=90.00
Space group P4_2/mnm (No. 136)
Inequivalent atoms, fractional coordinates:
Mg  0.176  0.176  0.000 [4 per cell]
Mo  0.155  0.155  0.500 [4 per cell]

## Properties
total moment: 0.36 μB per formula unit


Version iii
MgMo | PBE | optimized geometry

Unit cell a=2.8572 b=2.8572 c=4.8786 alpha=90.00 beta=90.00 gamma=120.00
Space group P-6m2 (No. 187)
Inequivalent atoms, fractional coordinates:
Mg  0.0000  0.0000  0.0000 [1 per cell]
Mo  0.6667  0.3333  0.5000 [1 per cell]

## Properties
total moment: 0.00 μB per formula unit


Name the most stable of them. version i.


Version i
MgMo | PBE | optimized geometry

Unit cell a=5.173 b=5.173 c=5.173 alpha=90.00 beta=90.00 gamma=90.00
Space group P2_13 (No. 198)
Inequivalent atoms, fractional coordinates:
Mg  0.098  0.402  0.598 [4 per cell]
Mo  0.102  0.898  0.398 [4 per cell]

## Properties
total moment: 0.00 μB per formula unit


Version ii
MgMo | PBE | optimized geometry

Unit cell a=3.281 b=3.281 c=6.863 alpha=90.00 beta=90.00 gamma=90.00
Space group P4/nmm (No. 129, origin choice 2)
Inequivalent atoms, fractional coordinates:
Mg  0.250  0.250  0.145 [2 per cell]
Mo  0.250  0.250  0.586 [2 per cell]

## Properties
total moment: 0.00 μB per formula unit


Version iii
MgMo | PBE | optimized geometry

Unit cell a=2.728 b=2.728 c=9.477 alpha=90.00 beta=90.00 gamma=90.00
Space group P4/nmm (No. 129, origin choice 2)
Inequivalent atoms, fractional coordinates:
Mg  0.250  0.250  0.139 [2 per cell]
Mo  0.250  0.250  0.622 [2 per cell]

## Properties
total moment: 0.00 μB per formula unit


Version iv
MgMo | PBE | optimized geometry

Unit cell a=5.299 b=5.299 c=5.299 alpha=90.00 beta=90.00 gamma=90.00
Space group Fm-3m (No. 225)
Inequivalent atoms, fractional coordinates:
Mg  0.000  0.000  0.000 [4 per cell]
Mo  0.000  0.000  0.500 [4 per cell]

## Properties
total moment: 0.00 μB per formula unit


Name the most stable of them. version ii.


Version i
MgMo | PBE | optimized geometry

Unit cell a=8.722 b=8.722 c=8.722 alpha=90.00 beta=90.00 gamma=90.00
Space group I-43m (No. 217)
Inequivalent atoms, fractional coordinates:
Mg  0.208  0.208  0.208 [8 per cell]
Mo  0.099  0.099  0.901 [8 per cell]

## Properties
total moment: 0.90 μB per formula unit


Version ii
MgMo | PBE | optimized geometry

Unit cell a=4.6706 b=4.6706 c=5.2948 alpha=90.00 beta=90.00 gamma=120.00
Space group P6_3/mmc (No. 194)
Inequivalent atoms, fractional coordinates:
Mg  0.3333  0.6667  0.2500 [2 per cell]
Mo  0.3333  0.6667  0.7500 [2 per cell]

## Properties
total moment: 2.03 μB per formula unit


Name the most stable of them. version i.


Version i
MgMo | PBE | optimized geometry

Unit cell a=2.712 b=2.712 c=4.640 alpha=90.00 beta=90.00 gamma=90.00
Space group P4/mmm (No. 123)
Inequivalent atoms, fractional coordinates:
Mg  0.000  0.000  0.000 [1 per cell]
Mo  0.500  0.500  0.500 [1 per cell]

## Properties
total moment: 0.00 μB per formula unit


Version ii
MgMo | PBE | optimized geometry

Unit cell a=3.245 b=3.245 c=3.245 alpha=90.00 beta=90.00 gamma=90.00
Space group Pm-3m (No. 221)
Inequivalent atoms, fractional coordinates:
Mg  0.000  0.000  0.000 [1 per cell]
Mo  0.500  0.500  0.500 [1 per cell]

## Properties
total moment: 0.66 μB per formula unit


Name the most stable of them. version i.